Compound: Zr2CoHRh
Source: the Alexandria database
Functional: PBE
Structure: optimized geometry

Cell and atoms, written as POSCAR:
```
Zr2CoHRh
1.0
4.489 0.000 0.000
0.000 4.489 0.000
0.000 0.000 3.582
Co Rh Zr H
1 1 2 1
direct
0.500 0.500 0.500 Co
0.000 0.000 0.500 Rh
0.000 0.500 0.000 Zr
0.500 0.000 0.000 Zr
0.000 0.000 0.000 H
```

Values from the calculation:
ΔE to the lowest computed polymorph, meV/atom: 100
Crystal system: tetragonal
SG: P4/mmm (123)

=====

Compound: YRe
Source: the Alexandria database
Functional: PBE
Structure: optimized geometry

Cell and atoms, written as POSCAR:
```
YRe
1.0
1.340 -4.106 -4.096
1.981 -1.192 -5.485
7.323 -1.398 0.443
Y Re
3 3
direct
0.292 0.292 0.387 Y
0.996 0.996 0.566 Y
0.297 0.297 0.945 Y
0.024 0.024 0.988 Re
0.569 0.569 0.209 Re
0.655 0.655 0.737 Re
```

Values from the calculation:
Energy relative to the elements, eV/atom: 0.24
Crystal system: monoclinic
SG: Cm (8)

=====

Compound: YEr12Sc5
Source: the Alexandria database
Functional: PBE
Structure: optimized geometry

Cell and atoms, written as POSCAR:
```
YEr12Sc5
1.0
-1.875 -1.065 5.593
5.785 1.164 -1.052
-1.588 16.317 3.643
Y Er Sc
1 12 5
direct
0.000 0.000 0.000 Y
0.112 0.112 0.663 Er
0.888 0.888 0.337 Er
0.282 0.282 0.166 Er
0.718 0.718 0.834 Er
0.608 0.945 0.166 Er
0.055 0.392 0.834 Er
0.945 0.608 0.166 Er
0.392 0.055 0.834 Er
0.554 0.221 0.338 Er
0.221 0.554 0.338 Er
0.779 0.446 0.662 Er
0.446 0.779 0.662 Er
0.500 0.500 0.500 Sc
0.834 0.166 0.500 Sc
0.166 0.834 0.500 Sc
0.333 0.667 0.000 Sc
0.667 0.333 0.000 Sc
```

Values from the calculation:
Energy relative to the elements, eV/atom: 0.03
Crystal system: monoclinic
SG: C2/m (12)

=====

Compound: BaAs2W
Source: the Alexandria database
Functional: PBE
Structure: optimized geometry

Cell and atoms, written as POSCAR:
```
BaAs2W
1.0
-1.201 3.374 3.533
-4.746 0.354 1.630
-1.186 -1.533 4.642
As Ba W
2 1 1
direct
0.000 0.000 0.000 As
0.250 0.250 0.250 As
0.500 0.500 0.500 Ba
0.750 0.750 0.750 W
```

Values from the calculation:
Energy relative to the elements, eV/atom: 0.97
ΔE to the lowest computed polymorph, meV/atom: 1212
Crystal system: cubic
SG: F-43m (216)